[1]
The following is a GGA-PBE calculation of crystalline InRhO2F at its relaxed geometry, from Alexandria.

It has space group P4/mmm (No. 123), with a = 3.965 Å, b = 3.965 Å, c = 4.348 Å, α = 90.00°, β = 90.00° and γ = 90.00°. The distinct sites, in fractional coordinates, are In at (0.000, 0.000, 0.000), Rh at (0.500, 0.500, 0.500), O at (0.000, 0.500, 0.500) and F at (0.500, 0.500, 0.000).

The formation energy without anion corrections is -0.750 eV per atom. The total moment is 0.26 Bohr magnetons per cell.

---

[2]
The following is a GGA-PBE calculation of crystalline InRhO2F at its relaxed geometry, from Alexandria.

It has space group P4/mmm (No. 123), with a = 4.212 Å, b = 4.212 Å, c = 4.117 Å, α = 90.00°, β = 90.00° and γ = 90.00°. The distinct sites, in fractional coordinates, are In at (0.000, 0.000, 0.000), Rh at (0.500, 0.500, 0.500), O at (0.000, 0.500, 0.000) and F at (0.000, 0.000, 0.500).

The formation energy without anion corrections is -0.435 eV per atom. The total moment is 2.99 Bohr magnetons per cell.

---

[3]
The following is a GGA-PBE calculation of crystalline InRuO2F at its relaxed geometry, from Alexandria.

It has space group P4/mmm (No. 123), with a = 3.824 Å, b = 3.824 Å, c = 4.939 Å, α = 90.00°, β = 90.00° and γ = 90.00°. The distinct sites, in fractional coordinates, are In at (0.000, 0.000, 0.000), Ru at (0.500, 0.500, 0.500), O at (0.000, 0.500, 0.500) and F at (0.500, 0.500, 0.000).

The formation energy without anion corrections is -0.918 eV per atom. The total moment is 0.76 Bohr magnetons per cell.

---

[4]
The following is a GGA-PBE calculation of crystalline InRuOF2 at its relaxed geometry, from Alexandria.

It has space group P4/mmm (No. 123), with a = 4.419 Å, b = 4.419 Å, c = 3.748 Å, α = 90.00°, β = 90.00° and γ = 90.00°. The distinct sites, in fractional coordinates, are In at (0.000, 0.000, 0.000), Ru at (0.500, 0.500, 0.500), O at (0.500, 0.500, 0.000) and F at (0.000, 0.500, 0.500).

The formation energy without anion corrections is -1.137 eV per atom. The total moment is 0.60 Bohr magnetons per cell.